A relaxed Hf8MgN8O4 crystal, computed with GGA-PBE. Values from VASP.

Geometry as Quantum ESPRESSO input:
```
&SYSTEM
  ibrav = 0, nat = 21, ntyp = 4
/
ATOMIC_SPECIES
Hf 178.49 Hf.upf
N 14.01 N.upf
O 16.00 O.upf
Mg 24.30 Mg.upf
CELL_PARAMETERS angstrom
-5.368 -0.603 -0.493
-2.007 -4.399 -2.528
-2.504 -6.631 7.966
ATOMIC_POSITIONS crystal
Hf 0.052 0.076 0.788
Hf 0.916 0.972 0.211
Hf 0.155 0.150 0.503
Hf 0.426 0.426 0.711
Hf 0.348 0.306 0.996
Hf 0.824 0.805 0.525
Hf 0.683 0.661 0.974
Hf 0.566 0.595 0.287
N 0.061 0.388 0.869
N 0.598 0.343 0.127
N 0.904 0.189 0.362
N 0.120 0.815 0.626
N 0.824 0.429 0.631
N 0.566 0.908 0.370
N 0.680 0.059 0.872
N 0.327 0.950 0.130
O 0.193 0.557 0.372
O 0.449 0.109 0.625
O 0.387 0.678 0.869
O 0.946 0.619 0.134
Mg 0.254 0.269 0.249
```

## Properties
M_tot = 0.0 μB per formula unit
D(E_F) = 6.32 states/eV per cell
space group = P1 (1)
E_tot = -209.0 eV/cell

=====

A relaxed HfMgN2O crystal, computed with GGA-PBE. Values from VASP.

Geometry as Quantum ESPRESSO input:
```
&SYSTEM
  ibrav = 0, nat = 5, ntyp = 4
/
ATOMIC_SPECIES
Mg 24.30 Mg.upf
O 16.00 O.upf
N 14.01 N.upf
Hf 178.49 Hf.upf
CELL_PARAMETERS angstrom
3.848 0.000 0.000
0.000 3.848 0.000
0.000 0.000 3.676
ATOMIC_POSITIONS crystal
Mg 0.000 0.000 0.000
O 0.000 0.000 0.500
N 0.000 0.500 0.000
N 0.500 0.000 0.000
Hf 0.500 0.500 0.500
```

## Properties
M_tot = 1.6 μB per formula unit
D(E_F) = 2.64 states/eV per cell
space group = P4/mmm (123)
E_tot = -34.0 eV/cell

=====

A relaxed Hf8MgN8O4 crystal, computed with GGA-PBE. Values from VASP.

Geometry as Quantum ESPRESSO input:
```
&SYSTEM
  ibrav = 0, nat = 21, ntyp = 4
/
ATOMIC_SPECIES
N 14.01 N.upf
O 16.00 O.upf
Hf 178.49 Hf.upf
Mg 24.30 Mg.upf
CELL_PARAMETERS angstrom
-3.464 -0.541 -4.571
-1.009 -3.558 4.437
-3.782 7.248 4.989
ATOMIC_POSITIONS crystal
N 0.871 0.396 0.423
N 0.927 0.046 0.610
N 0.353 0.456 0.831
N 0.622 0.420 0.641
N 0.034 0.618 0.133
N 0.123 0.851 0.875
N 0.155 0.041 0.330
N 0.673 0.004 0.137
O 0.731 0.137 0.869
O 0.314 0.780 0.613
O 0.352 0.330 0.105
O 0.504 0.691 0.368
Hf 0.316 0.112 0.718
Hf 0.694 0.764 0.755
Hf 0.165 0.697 0.362
Hf 0.010 0.976 0.087
Hf 0.826 0.035 0.375
Hf 0.338 0.668 0.013
Hf 0.655 0.323 0.027
Hf 0.995 0.433 0.663
Mg 0.507 0.369 0.414
```

## Properties
M_tot = 0.0 μB per formula unit
space group = P1 (1)
E_tot = -209.5 eV/cell

=====

A relaxed HfMgP2N crystal, computed with GGA-PBE. Values from VASP.

Geometry as Quantum ESPRESSO input:
```
&SYSTEM
  ibrav = 0, nat = 5, ntyp = 4
/
ATOMIC_SPECIES
Mg 24.30 Mg.upf
P 30.97 P.upf
N 14.01 N.upf
Hf 178.49 Hf.upf
CELL_PARAMETERS angstrom
4.918 0.000 0.000
0.000 5.926 0.000
0.000 0.000 4.918
ATOMIC_POSITIONS crystal
Mg 0.000 0.500 0.000
P 0.000 0.000 0.500
P 0.500 0.000 0.000
N 0.500 0.500 0.500
Hf 0.000 0.000 0.000
```

## Properties
M_tot = 3.0 μB per formula unit
D(E_F) = 1.82 states/eV per cell
space group = P4/mmm (123)
E_tot = -24.2 eV/cell

=====

A relaxed HfMg2PN crystal, computed with GGA-PBE. Values from VASP.

Geometry as Quantum ESPRESSO input:
```
&SYSTEM
  ibrav = 0, nat = 5, ntyp = 4
/
ATOMIC_SPECIES
P 30.97 P.upf
Mg 24.30 Mg.upf
N 14.01 N.upf
Hf 178.49 Hf.upf
CELL_PARAMETERS angstrom
4.590 0.000 0.000
0.000 4.867 0.000
0.000 0.000 4.590
ATOMIC_POSITIONS crystal
P 0.000 0.000 0.000
Mg 0.000 0.000 0.500
Mg 0.500 0.000 0.000
N 0.500 0.500 0.500
Hf 0.000 0.500 0.000
```

## Properties
M_tot = 0.0 μB per formula unit
D(E_F) = 3.61 states/eV per cell
space group = P4/mmm (123)
E_tot = -22.9 eV/cell

=====

A relaxed HfMg3Pa3N8 crystal, computed with GGA-PBE. Values from VASP.

Geometry as Quantum ESPRESSO input:
```
&SYSTEM
  ibrav = 0, nat = 15, ntyp = 4
/
ATOMIC_SPECIES
Mg 24.30 Mg.upf
N 14.01 N.upf
Pa 231.04 Pa.upf
Hf 178.49 Hf.upf
CELL_PARAMETERS angstrom
-0.322 4.373 -5.273
1.984 -6.483 -1.038
-6.135 1.492 1.613
ATOMIC_POSITIONS crystal
Mg 0.500 0.500 0.000
Mg 0.000 0.500 0.000
Mg 0.000 0.000 0.000
N 0.246 0.014 0.282
N 0.232 0.986 0.718
N 0.232 0.464 0.718
N 0.751 0.502 0.754
N 0.249 0.498 0.246
N 0.754 0.986 0.718
N 0.768 0.014 0.282
N 0.768 0.536 0.282
Pa 0.500 0.000 0.500
Pa 0.000 0.500 0.500
Pa 0.500 0.500 0.500
Hf 0.000 0.000 0.500
```

## Properties
M_tot = 1.0 μB per formula unit
D(E_F) = 5.11 states/eV per cell
space group = R-3m (166)
E_tot = -128.6 eV/cell

=====

A relaxed HfMg3Pa2N6 crystal, computed with GGA-PBE. Values from VASP.

Geometry as Quantum ESPRESSO input:
```
&SYSTEM
  ibrav = 0, nat = 12, ntyp = 4
/
ATOMIC_SPECIES
Pa 231.04 Pa.upf
N 14.01 N.upf
Mg 24.30 Mg.upf
Hf 178.49 Hf.upf
CELL_PARAMETERS angstrom
3.303 0.000 0.000
0.000 6.433 0.349
-1.652 -1.751 7.199
ATOMIC_POSITIONS crystal
Pa 0.169 0.330 0.339
Pa 0.831 0.670 0.661
N 0.350 0.934 0.699
N 0.654 0.579 0.307
N 0.650 0.066 0.301
N 0.009 0.239 0.017
N 0.346 0.421 0.693
N 0.991 0.761 0.983
Mg 0.853 0.186 0.706
Mg 0.500 0.500 0.000
Mg 0.147 0.814 0.294
Hf 0.500 0.000 0.000
```

## Properties
M_tot = 0.0 μB per formula unit
D(E_F) = 2.48 states/eV per cell
space group = C2/m (12)
E_tot = -98.8 eV/cell

=====

A relaxed Hf2MgPaN4 crystal, computed with GGA-PBE. Values from VASP.

Geometry as Quantum ESPRESSO input:
```
&SYSTEM
  ibrav = 0, nat = 8, ntyp = 4
/
ATOMIC_SPECIES
Hf 178.49 Hf.upf
N 14.01 N.upf
Pa 231.04 Pa.upf
Mg 24.30 Mg.upf
CELL_PARAMETERS angstrom
3.263 0.000 0.000
0.000 5.718 -0.178
0.000 1.955 5.282
ATOMIC_POSITIONS crystal
Hf 0.500 0.000 0.500
Hf 0.000 0.000 0.000
N 0.500 0.235 0.767
N 0.500 0.765 0.233
N 0.000 0.760 0.747
N 0.000 0.240 0.253
Pa 0.000 0.500 0.500
Mg 0.500 0.500 0.000
```

## Properties
M_tot = 0.0 μB per formula unit
D(E_F) = 3.32 states/eV per cell
space group = P2/m (10)
E_tot = -76.5 eV/cell

=====

A relaxed Pu2HfMgN4 crystal, computed with GGA-PBE. Values from VASP.

Geometry as Quantum ESPRESSO input:
```
&SYSTEM
  ibrav = 0, nat = 8, ntyp = 4
/
ATOMIC_SPECIES
N 14.01 N.upf
Mg 24.30 Mg.upf
Hf 178.49 Hf.upf
Pu 244.00 Pu.upf
CELL_PARAMETERS angstrom
-1.099 2.991 1.034
1.589 -1.290 5.422
4.376 2.559 -2.749
ATOMIC_POSITIONS crystal
N 0.500 0.741 0.759
N 0.500 0.259 0.241
N 0.000 0.265 0.769
N 0.000 0.735 0.231
Mg 0.000 0.000 0.000
Hf 0.500 0.500 0.000
Pu 0.000 0.500 0.500
Pu 0.500 0.000 0.500
```

## Properties
M_tot = 9.5 μB per formula unit
D(E_F) = 12.89 states/eV per cell
space group = P2/m (10)
E_tot = -83.7 eV/cell

=====

A relaxed PuHfMg2N4 crystal, computed with GGA-PBE. Values from VASP.

Geometry as Quantum ESPRESSO input:
```
&SYSTEM
  ibrav = 0, nat = 8, ntyp = 4
/
ATOMIC_SPECIES
N 14.01 N.upf
Mg 24.30 Mg.upf
Pu 244.00 Pu.upf
Hf 178.49 Hf.upf
CELL_PARAMETERS angstrom
-2.967 -1.419 0.077
2.245 -4.807 -2.105
0.176 -0.071 5.524
ATOMIC_POSITIONS crystal
N 0.500 0.257 0.239
N 0.000 0.739 0.239
N 0.500 0.743 0.761
N 0.000 0.261 0.761
Mg 0.500 0.000 0.500
Mg 0.000 0.500 0.500
Pu 0.000 0.000 0.000
Hf 0.500 0.500 0.000
```

## Properties
M_tot = 4.0 μB per formula unit
D(E_F) = 5.98 states/eV per cell
space group = P2/m (10)
E_tot = -70.4 eV/cell

=====

A relaxed PuHf2Mg3N6 crystal, computed with GGA-PBE. Values from VASP.

Geometry as Quantum ESPRESSO input:
```
&SYSTEM
  ibrav = 0, nat = 12, ntyp = 4
/
ATOMIC_SPECIES
N 14.01 N.upf
Mg 24.30 Mg.upf
Hf 178.49 Hf.upf
Pu 244.00 Pu.upf
CELL_PARAMETERS angstrom
3.249 0.000 0.000
0.000 6.389 0.322
-1.624 -1.751 6.799
ATOMIC_POSITIONS crystal
N 0.994 0.746 0.987
N 0.006 0.254 0.013
N 0.329 0.421 0.658
N 0.333 0.902 0.665
N 0.667 0.098 0.335
N 0.671 0.579 0.342
Mg 0.170 0.835 0.340
Mg 0.500 0.500 0.000
Mg 0.830 0.165 0.660
Hf 0.169 0.340 0.338
Hf 0.831 0.660 0.662
Pu 0.500 0.000 0.000
```

## Properties
M_tot = 4.0 μB per formula unit
D(E_F) = 6.47 states/eV per cell
space group = C2/m (12)
E_tot = -104.4 eV/cell

=====

A relaxed Hf2MgRhN crystal, computed with GGA-PBE. Values from VASP.

Geometry as Quantum ESPRESSO input:
```
&SYSTEM
  ibrav = 0, nat = 5, ntyp = 4
/
ATOMIC_SPECIES
Hf 178.49 Hf.upf
Rh 102.91 Rh.upf
Mg 24.30 Mg.upf
N 14.01 N.upf
CELL_PARAMETERS angstrom
4.400 0.000 0.000
0.000 4.400 0.000
0.000 0.000 4.071
ATOMIC_POSITIONS crystal
Hf 0.500 0.000 0.000
Hf 0.000 0.500 0.000
Rh 0.500 0.500 0.500
Mg 0.000 0.000 0.500
N 0.000 0.000 0.000
```

## Properties
M_tot = 0.0 μB per formula unit
D(E_F) = 2.39 states/eV per cell
space group = P4/mmm (123)
E_tot = -41.5 eV/cell